The following is a PBE calculation of crystalline PrDyTmLu at its relaxed geometry, from Alexandria.

Cell lengths 5.6597, 5.6597, 5.6597 Å; angles 60.00, 60.00, 60.00 degrees
Sites, in units of the cell vectors:
Pr1 0.5000 0.5000 0.5000
Tm1 0.2500 0.2500 0.2500
Dy1 0.0000 0.0000 0.0000
Lu1 0.7500 0.7500 0.7500

## Properties
energy of formation = 101 meV/atom
DFT total energy = -4.493 eV/atom
D(E_F) = 5.6 states/eV per cell
spin magnetization = 0.000 μB per formula unit

***

The following is a PBE calculation of crystalline HgAs2 at its relaxed geometry, from Alexandria.

Cell lengths 3.6076, 3.6076, 7.9303 Å; angles 90.00, 90.00, 120.00 degrees
Sites, in units of the cell vectors:
Hg1 0.0000 0.0000 0.0000
As1 0.6667 0.3333 0.5882
As2 0.3333 0.6667 0.4118

## Properties
energy of formation = 2 meV/atom
DFT total energy = -3.198 eV/atom
spin magnetization = 0.000 μB per formula unit

***

The following is a PBE calculation of crystalline LiPaSbO5 at its relaxed geometry, from Alexandria.

Cell lengths 6.0795, 6.0795, 7.0786 Å; angles 95.87, 95.87, 116.04 degrees
Sites, in units of the cell vectors:
O1 0.4279 0.2922 0.0679
Pa1 0.0000 0.0000 0.0000
Pa2 0.0000 0.0000 0.5000
Li1 0.2894 0.7106 0.7500
O2 0.9610 0.6836 0.7943
O3 0.6836 0.9610 0.2943
O4 0.1147 0.8853 0.2500
Li2 0.7106 0.2894 0.2500
O5 0.8853 0.1147 0.7500
O6 0.0390 0.3164 0.2057
O7 0.3164 0.0390 0.7057
O8 0.7078 0.5721 0.4321
Sb1 0.5748 0.4252 0.7500
Sb2 0.4252 0.5748 0.2500
O9 0.2922 0.4279 0.5679
O10 0.5721 0.7078 0.9321

## Properties
raw formation energy = -17.7 eV/f.u.
DFT total energy = -7.257 eV/atom
D(E_F) = 4.5 states/eV per cell
spin magnetization = 0.000 μB per formula unit

***

- Which formula does entry 2 have?
  HgAs2